[1]
A plane-wave DFT calculation with PBE was carried out for a relaxed structure of Ta2CuHPt.

abc: 4.0769 4.0769 3.9979
angles: 90.00 90.00 90.00
Fractional positions:
Ta 0.0000 0.5000 0.0000
Ta 0.5000 0.0000 0.0000
Cu 0.0000 0.0000 0.5000
H 0.5000 0.5000 0.0000
Pt 0.5000 0.5000 0.5000

## Properties
E: -7.578 eV/atom
Symmetry: P4/mmm, No. 123
Density: 15.53 Mg/m³

---

[2]
A plane-wave DFT calculation with PBE was carried out for a relaxed structure of PmLuCu.

abc: 6.6603 6.6603 6.6603
angles: 149.79 149.79 43.25
Fractional positions:
Pm 0.0000 0.0000 0.0000
Lu 0.2787 0.2787 0.0000
Cu 0.6584 0.6584 0.0000

## Properties
Symmetry: I4mm, No. 107
Density: 8.53 Mg/m³
Energy of formation: -130 meV per atom

---

[3]
A plane-wave DFT calculation with PBE was carried out for a relaxed structure of V3Pd6Au.

abc: 8.8968 8.8968 4.9726
angles: 90.00 90.00 129.18
Fractional positions:
V 0.0811 0.9189 0.5000
V 0.2044 0.4390 0.0828
V 0.4390 0.2044 0.5828
V 0.5610 0.7956 0.0828
V 0.7956 0.5610 0.5828
V 0.9189 0.0811 0.0000
Pd 0.0405 0.6025 0.2763
Pd 0.1344 0.2377 0.5479
Pd 0.1926 0.8074 0.8066
Pd 0.2377 0.1344 0.0479
Pd 0.3975 0.9595 0.2763
Pd 0.4961 0.5039 0.8183
Pd 0.5039 0.4961 0.3183
Pd 0.6025 0.0405 0.7763
Pd 0.7623 0.8656 0.5479
Pd 0.8074 0.1926 0.3066
Pd 0.8656 0.7623 0.0479
Pd 0.9595 0.3975 0.7763
Au 0.3449 0.6551 0.5618
Au 0.6551 0.3449 0.0618

## Properties
Symmetry: Cmc2_1, No. 36
Density: 10.76 Mg/m³
Energy of formation: -64 meV per atom

---

[4]
A plane-wave DFT calculation with PBE was carried out for a relaxed structure of AlInS2.

abc: 8.0221 3.7262 13.6231
angles: 90.00 90.00 90.00
Fractional positions:
Al 0.0038 0.2500 0.0930
Al 0.4962 0.7500 0.5930
Al 0.5038 0.2500 0.4070
Al 0.9962 0.7500 0.9070
In 0.0597 0.2500 0.6494
In 0.4403 0.7500 0.1494
In 0.5597 0.2500 0.8506
In 0.9403 0.7500 0.3506
S 0.1351 0.2500 0.2323
S 0.1574 0.2500 0.9466
S 0.3426 0.7500 0.4466
S 0.3649 0.7500 0.7323
S 0.6351 0.2500 0.2677
S 0.6574 0.2500 0.5534
S 0.8426 0.7500 0.0534
S 0.8649 0.7500 0.7677

## Properties
Symmetry: Pnma, No. 62
Density: 3.36 Mg/m³
Formation energy (no corrections): -741.6 meV/atom

---

[5]
A plane-wave DFT calculation with PBE was carried out for a relaxed structure of Sm8Er6Sc.

abc: 8.6178 8.6178 8.6178
angles: 63.17 63.17 63.17
Fractional positions:
Sm 0.0775 0.0775 0.0775
Sm 0.2182 0.6112 0.2526
Sm 0.2526 0.2182 0.6112
Sm 0.3888 0.7474 0.7818
Sm 0.6112 0.2526 0.2182
Sm 0.7474 0.7818 0.3888
Sm 0.7818 0.3888 0.7474
Sm 0.9225 0.9225 0.9225
Er 0.0435 0.5994 0.7408
Er 0.2592 0.9565 0.4006
Er 0.4006 0.2592 0.9565
Er 0.5994 0.7408 0.0435
Er 0.7408 0.0435 0.5994
Er 0.9565 0.4006 0.2592
Sc 0.5000 0.5000 0.5000

## Properties
Symmetry: R-3, No. 148
Density: 7.72 Mg/m³
Energy of formation: 126 meV per atom

---

[6]
A plane-wave DFT calculation with PBE was carried out for a relaxed structure of Ca3NdAg3.

abc: 7.4400 7.4400 7.3745
angles: 90.00 90.00 93.21
Fractional positions:
Ca 0.2446 0.7554 0.0000
Ca 0.2559 0.2559 0.0000
Ca 0.2727 0.2727 0.5000
Ca 0.7273 0.7273 0.5000
Ca 0.7441 0.7441 0.0000
Ca 0.7554 0.2446 0.0000
Nd 0.2225 0.7775 0.5000
Nd 0.7775 0.2225 0.5000
Ag 0.0000 0.0000 0.2373
Ag 0.0000 0.0000 0.7627
Ag 0.0000 0.5000 0.2531
Ag 0.0000 0.5000 0.7469
Ag 0.5000 0.0000 0.2531
Ag 0.5000 0.0000 0.7469

## Properties
Symmetry: Cmmm, No. 65
Density: 4.79 Mg/m³
Energy of formation: -201 meV per atom

---

Q: The lowest density belongs to which entry?
A: AlInS2

---

Repeat the fifth record exactly.
A plane-wave DFT calculation with PBE was carried out for a relaxed structure of Sm8Er6Sc.

abc: 8.6178 8.6178 8.6178
angles: 63.17 63.17 63.17
Fractional positions:
Sm 0.0775 0.0775 0.0775
Sm 0.2182 0.6112 0.2526
Sm 0.2526 0.2182 0.6112
Sm 0.3888 0.7474 0.7818
Sm 0.6112 0.2526 0.2182
Sm 0.7474 0.7818 0.3888
Sm 0.7818 0.3888 0.7474
Sm 0.9225 0.9225 0.9225
Er 0.0435 0.5994 0.7408
Er 0.2592 0.9565 0.4006
Er 0.4006 0.2592 0.9565
Er 0.5994 0.7408 0.0435
Er 0.7408 0.0435 0.5994
Er 0.9565 0.4006 0.2592
Sc 0.5000 0.5000 0.5000

## Properties
Symmetry: R-3, No. 148
Density: 7.72 Mg/m³
Energy of formation: 126 meV per atom